Computed, not measured: crystalline LiSmGdZn at its relaxed geometry at the PBE level of DFT.

Cell lengths 7.3253, 7.3253, 7.3253 Å; angles 90.00, 90.00, 90.00 degrees
Space group F-43m (No. 216)
Asymmetric unit:
Li 0.0000 0.0000 0.0000
Sm 0.2500 0.2500 0.2500
Gd 0.2500 0.2500 0.7500
Zn 0.0000 0.0000 0.5000

Results
V (A^3/atom): 24.6
ΔE_f (eV per atom): -0.126
D(E_F) (states/eV per cell): 13.75
Electronic total energy (eV for the cell shown): -89.960
M_tot (Bohr magnetons per cell): 31.36

Computed, not measured: crystalline Nd3HoPu2Te6 at its relaxed geometry at the PBE level of DFT.

Cell lengths 19.4332, 4.4257, 8.9425 Å; angles 90.00, 103.82, 90.00 degrees
Space group C2/m (No. 12)
Asymmetric unit:
Nd 0.0000 0.0000 0.0000
Nd 0.1683 0.5000 0.3343
Ho 0.0000 0.0000 0.5000
Pu 0.1661 0.5000 0.8334
Te 0.9998 0.5000 0.2585
Te 0.1628 0.0000 0.5856
Te 0.1682 0.0000 0.0798

Results
V (A^3/atom): 31.1
D(E_F) (states/eV per cell): 48.04
Energy relative to the elements, uncorrected (eV per atom): -1.302
Electronic total energy (eV for the cell shown): -164.026
M_tot (Bohr magnetons per cell): 23.77

Computed, not measured: crystalline LiTl2Hg at its relaxed geometry at the PBE level of DFT.

Cell lengths 8.2061, 8.2061, 6.3983 Å; angles 90.00, 90.00, 90.00 degrees
Space group I-42d (No. 122)
Asymmetric unit:
Li 0.0000 0.0000 0.0000
Tl 0.2365 0.7500 0.1250
Hg 0.0000 0.0000 0.5000

Results
V (A^3/atom): 26.9
ΔE_f (eV per atom): -0.016
D(E_F) (states/eV per cell): 7.08
ΔE to the lowest computed polymorph (meV per atom): 117
Electronic total energy (eV for the cell shown): -28.044
M_tot (Bohr magnetons per cell): 0.00

Computed, not measured: crystalline PuCo4Sb12 at its relaxed geometry at the PBE level of DFT.

Cell lengths 9.1839, 9.1839, 9.1839 Å; angles 90.00, 90.00, 90.00 degrees
Space group Im-3 (No. 204)
Asymmetric unit:
Pu 0.0000 0.0000 0.0000
Co 0.2500 0.2500 0.2500
Sb 0.0000 0.1606 0.3323

Results
V (A^3/atom): 22.8
D(E_F) (states/eV per cell): 38.12
Energy relative to the elements, uncorrected (eV per atom): -0.212
Electronic total energy (eV for the cell shown): -191.646
M_tot (Bohr magnetons per cell): 12.97

Computed, not measured: crystalline Tb4Pm3HoS8 at its relaxed geometry at the PBE level of DFT.

Cell lengths 7.9218, 7.9218, 19.4438 Å; angles 90.00, 90.00, 120.00 degrees
Space group R-3m (No. 166, hexagonal axes)
Asymmetric unit:
Tb 0.0000 0.0000 0.0000
Tb 0.0000 0.5000 0.0000
Pm 0.0000 0.5000 0.5000
Ho 0.0000 0.0000 0.5000
S 0.0000 0.0000 0.2535
S 0.0067 0.5034 0.2518

Results
V (A^3/atom): 22.0
D(E_F) (states/eV per cell): 26.16
Energy relative to the elements, uncorrected (eV per atom): -2.008
Electronic total energy (eV for the cell shown): -307.518
M_tot (Bohr magnetons per cell): 0.00

Computed, not measured: crystalline YHo5Th at its relaxed geometry at the PBE level of DFT.

Cell lengths 5.8232, 8.5358, 11.9761 Å; angles 90.00, 90.00, 90.00 degrees
Space group Immm (No. 71)
Asymmetric unit:
Y 0.0000 0.0000 0.0000
Ho 0.0000 0.0000 0.2448
Ho 0.0000 0.3224 0.0000
Ho 0.0000 0.5000 0.5000
Th 0.0000 0.0000 0.5000

Results
V (A^3/atom): 42.5
ΔE_f (eV per atom): 1.207
D(E_F) (states/eV per cell): 21.30
ΔE to the lowest computed polymorph (meV per atom): 991
Electronic total energy (eV for the cell shown): -56.650
M_tot (Bohr magnetons per cell): 0.00

Computed, not measured: crystalline K2TlMo at its relaxed geometry at the PBE level of DFT.

Cell lengths 4.8711, 6.0755, 10.1565 Å; angles 90.00, 90.00, 90.00 degrees
Space group Imm2 (No. 44)
Asymmetric unit:
K 0.0000 0.0000 0.0000
K 0.0000 0.5000 0.1973
Tl 0.0000 0.0000 0.4209
Mo 0.0000 0.5000 0.7894

Results
V (A^3/atom): 37.6
ΔE_f (eV per atom): 0.917
D(E_F) (states/eV per cell): 5.65
ΔE to the lowest computed polymorph (meV per atom): 156
Electronic total energy (eV for the cell shown): -23.447
M_tot (Bohr magnetons per cell): 6.50

Computed, not measured: crystalline HgP4Se at its relaxed geometry at the PBE level of DFT.

Cell lengths 8.6408, 8.6408, 8.6408 Å; angles 90.00, 90.00, 90.00 degrees
Space group F-43m (No. 216)
Asymmetric unit:
Hg 0.0000 0.0000 0.0000
P 0.0905 0.0905 0.4095
Se 0.2500 0.2500 0.7500

Results
V (A^3/atom): 26.9
D(E_F) (states/eV per cell): 22.30
Energy relative to the elements, uncorrected (eV per atom): 0.476
ΔE to the lowest computed polymorph (meV per atom): 338
Electronic total energy (eV for the cell shown): -90.268
M_tot (Bohr magnetons per cell): 7.81